(1)
Computed, not measured: Rb2AgGeI5 after structural relaxation at the PBE level of DFT.

Raw formation energy (eV per atom): -0.821
VASP energy (eV per atom): -2.73

a = 11.1203 Å, b = 11.1203 Å, c = 15.0263 Å
α = 90.00°, β = 90.00°, γ = 155.78°
Last column: nearest neighbours and their distance in Å.
Fractional coordinates of all 18 atoms:
1 Rb 0.1095 0.8905 0.5000  5 I 3.63-3.77
2 Rb 0.1268 0.8732 0.1197  8 I 3.65-4.03
3 Rb 0.8732 0.1268 0.6197  8 I 3.65-4.03
4 Rb 0.8905 0.1095 0.0000  5 I 3.63-3.77
5 Ag 0.4344 0.5656 0.2589  4 I 2.79-3.09
6 Ag 0.5656 0.4344 0.7589  4 I 2.79-3.09
7 Ge 0.2126 0.7874 0.8318  6 I 2.91-3.20
8 Ge 0.7874 0.2126 0.3318  6 I 2.91-3.20
9 I 0.0674 0.9326 0.8657  2 Ag 2.83
10 I 0.2805 0.7195 0.4659  2 Ge 3.09
11 I 0.2996 0.7004 0.1944  1 Ag 3.09, 2 Ge 3.13
12 I 0.3458 0.6542 0.8140  1 Ge 2.91
13 I 0.4986 0.5014 0.0983  1 Ag 2.79
14 I 0.5014 0.4986 0.5983  1 Ag 2.79
15 I 0.6542 0.3458 0.3140  1 Ge 2.91
16 I 0.7004 0.2996 0.6944  1 Ag 3.09, 2 Ge 3.13
17 I 0.7195 0.2805 0.9659  2 Ge 3.09
18 I 0.9326 0.0674 0.3657  2 Ag 2.83

***

(2)
Computed, not measured: Mg2AsRh after structural relaxation at the PBE level of DFT.

Energy of formation from the pure elements (kcal/mol of atoms): -2.04
VASP energy (eV per atom): -3.89

a = 5.8426 Å, b = 5.8426 Å, c = 5.8426 Å
α = 102.61°, β = 102.61°, γ = 124.29°
Last column: nearest neighbours and their distance in Å.
Fractional coordinates of all 8 atoms:
1 Mg 0.1213 0.6250 0.9963  2 Rh 2.65, 2 As 2.69, 2 Mg 2.73
2 Mg 0.3750 0.3713 0.4963  2 Rh 2.65, 2 As 2.69, 2 Mg 2.73
3 Mg 0.6287 0.1250 0.0037  2 Rh 2.65, 2 As 2.69, 2 Mg 2.73
4 Mg 0.8750 0.8787 0.5037  2 Rh 2.65, 2 As 2.69, 2 Mg 2.73
5 As 0.2500 0.7500 0.5000  4 Mg 2.69, 2 Rh 2.73
6 As 0.5000 0.5000 0.0000  4 Mg 2.69, 2 Rh 2.73
7 Rh 0.0000 0.0000 0.0000  4 Mg 2.65, 2 As 2.73
8 Rh 0.7500 0.2500 0.5000  4 Mg 2.65, 2 As 2.73